BaInPt2 | PBE-GGA | optimized geometry

abc: 5.1196 5.1196 5.1196
angles: 60.00 60.00 60.00
Sites, in units of the cell vectors:
1 Pt 0.2500 0.2500 0.2500
2 In 0.7500 0.7500 0.7500
3 Ba 0.5000 0.5000 0.5000
4 Pt 0.0000 0.0000 0.0000

Calculated values
The value obtained for the calculated density is 11.24 Mg/m³. The space group is F-43m. The calculation puts the energy of formation from the pure elements at -0.075 eV/atom. The calculated total energy is -17.044 eV per cell.

---

Ba2PuIn3Pt4 | PBE-GGA | optimized geometry

abc: 4.8418 4.8418 11.0519
angles: 90.00 90.00 90.00
Last column: magnetic moment on the atom in μB.
Sites, in units of the cell vectors:
1 Ba 0.5000 0.0000 0.2290  0.03
2 Pu 0.5000 0.5000 0.5000  5.27
3 Pt 0.5000 0.0000 0.6355  -0.05
4 In 0.5000 0.0000 0.8842  0.00
5 In 0.0000 0.0000 0.5000  0.00
6 Pt 0.0000 0.0000 0.0000  -0.01
7 Ba 0.0000 0.5000 0.7710  0.03
8 Pt 0.5000 0.5000 0.0000  0.00
9 Pt 0.0000 0.5000 0.3645  -0.05
10 In 0.0000 0.5000 0.1158  0.00

Calculated values
The value obtained for the calculated density is 10.53 Mg/m³. The space group is P-4m2. The calculation puts the energy of formation from the pure elements at -0.668 eV/atom. The calculated total energy is -57.238 eV per cell.

---

BaInSbPt2 | PBE-GGA | optimized geometry

abc: 5.0933 6.2644 5.0933
angles: 90.00 90.00 90.00
Sites, in units of the cell vectors:
1 Ba 0.0000 0.5000 0.0000
2 Sb 0.0000 0.0000 0.0000
3 Pt 0.0000 0.0000 0.5000
4 Pt 0.5000 0.0000 0.0000
5 In 0.5000 0.5000 0.5000

Calculated values
The value obtained for the calculated density is 7.81 Mg/m³. The space group is P4/mmm. The calculated total energy is -19.934 eV per cell.

---

Ba2InSb3Pt4 | PBE-GGA | optimized geometry

abc: 4.7811 4.7811 10.8187
angles: 90.00 90.00 90.00
Sites, in units of the cell vectors:
1 Sb 0.0000 0.0000 0.5000
2 Pt 0.5000 0.0000 0.6263
3 Pt 0.5000 0.5000 0.0000
4 Sb 0.5000 0.0000 0.8770
5 Sb 0.0000 0.5000 0.1230
6 Pt 0.0000 0.5000 0.3737
7 In 0.5000 0.5000 0.5000
8 Ba 0.0000 0.5000 0.7562
9 Ba 0.5000 0.0000 0.2438
10 Pt 0.0000 0.0000 0.0000

Calculated values
The value obtained for the calculated density is 10.31 Mg/m³. The space group is P-4m2. The calculated total energy is -51.011 eV per cell.